## Ca2Ga3Cu4Ni (PBE)

Data for a relaxed Ca2Ga3Cu4Ni crystal.

```
Ca2Ga3Cu4Ni
1.0
4.088 0.000 0.000
0.000 4.088 0.000
0.000 0.000 10.391
Ca Ga Cu Ni
2 3 4 1
Direct
0.500 0.000 0.256
0.000 0.500 0.744
0.000 0.000 0.500
0.500 0.000 0.868
0.000 0.500 0.132
0.500 0.500 0.000
0.000 0.000 0.000
0.500 0.000 0.632
0.000 0.500 0.368
0.500 0.500 0.500
```

formation energy from the elements: -0.24 eV/atom